Entry 1:
Computed, not measured: crystalline KCr2AsH at its relaxed geometry at the PBE level of DFT.

a b c (Å): 4.883 4.883 5.096
angles (deg): 90.00 90.00 90.00
Fractional coordinates of all 5 atoms:
K (0.000, 0.000, 0.000)
Cr (0.000, 0.500, 0.500)
Cr (0.500, 0.000, 0.500)
As (0.500, 0.500, 0.500)
H (0.500, 0.500, 0.000)

Properties
raw total energy = -4.887 eV/atom
excess energy over the best structure of this formula in the dataset = 0.0 meV per atom
symmetry = P4/mmm (123)



Entry 2:
Computed, not measured: crystalline NpGe2Bi at its relaxed geometry at the PBE level of DFT.

a b c (Å): 4.604 4.604 4.263
angles (deg): 90.00 90.00 90.00
Fractional coordinates of all 4 atoms:
Np (0.000, 0.000, 0.000)
Ge (0.000, 0.500, 0.500)
Ge (0.500, 0.000, 0.500)
Bi (0.500, 0.500, 0.000)

Properties
raw total energy = -6.552 eV/atom
excess energy over the best structure of this formula in the dataset = 0.0 meV per atom
DFT formation energy = -38 meV/atom
symmetry = P4/mmm (123)



Entry 3:
Computed, not measured: crystalline Ho3TlZn at its relaxed geometry at the PBE level of DFT.

a b c (Å): 10.529 10.529 5.092
angles (deg): 90.00 90.00 152.02
Fractional coordinates of all 10 atoms:
Ho (0.061, 0.939, 0.750)
Ho (0.250, 0.750, 0.750)
Ho (0.437, 0.563, 0.750)
Ho (0.563, 0.437, 0.250)
Ho (0.750, 0.250, 0.250)
Ho (0.939, 0.061, 0.250)
Tl (0.342, 0.658, 0.250)
Tl (0.658, 0.342, 0.750)
Zn (0.154, 0.846, 0.250)
Zn (0.846, 0.154, 0.750)

Properties
raw total energy = -3.718 eV/atom
excess energy over the best structure of this formula in the dataset = 0.0 meV per atom
DFT formation energy = -243 meV/atom
symmetry = Cmcm (63)



Entry 4:
Computed, not measured: crystalline Si2Ag3 at its relaxed geometry at the PBE level of DFT.

a b c (Å): 11.269 11.269 11.269
angles (deg): 15.05 15.05 15.05
Fractional coordinates of all 5 atoms:
Si (0.100, 0.100, 0.100)
Si (0.900, 0.900, 0.900)
Ag (0.298, 0.298, 0.298)
Ag (0.500, 0.500, 0.500)
Ag (0.702, 0.702, 0.702)

Properties
ΔE_f (raw) = 117 kJ/mol of formula units
raw total energy = -3.637 eV/atom
excess energy over the best structure of this formula in the dataset = 0.0 meV per atom
symmetry = R-3m (166)



Entry 5:
Computed, not measured: crystalline Nd2Cl4F at its relaxed geometry at the PBE level of DFT.

a b c (Å): 9.214 9.214 9.214
angles (deg): 30.33 30.33 30.33
Fractional coordinates of all 7 atoms:
Nd (0.086, 0.086, 0.086)
Nd (0.914, 0.914, 0.914)
Cl (0.202, 0.202, 0.202)
Cl (0.391, 0.391, 0.391)
Cl (0.609, 0.609, 0.609)
Cl (0.798, 0.798, 0.798)
F (0.000, 0.000, 0.000)

Properties
ΔE_f (raw) = -1608 kJ/mol of formula units
raw total energy = -5.066 eV/atom
symmetry = R-3m (166)



Entry 6:
Computed, not measured: crystalline Rb3VRh at its relaxed geometry at the PBE level of DFT.

a b c (Å): 6.217 6.217 6.217
angles (deg): 90.00 90.00 90.00
Fractional coordinates of all 5 atoms:
Rb (0.000, 0.000, 0.500)
Rb (0.000, 0.500, 0.000)
Rb (0.500, 0.000, 0.000)
V (0.500, 0.500, 0.500)
Rh (0.000, 0.000, 0.000)

Properties
raw total energy = -2.606 eV/atom
DFT formation energy = 1269 meV/atom
symmetry = Pm-3m (221)



Entry 7:
Computed, not measured: crystalline Si2HgRu at its relaxed geometry at the PBE level of DFT.

a b c (Å): 8.140 8.140 8.140
angles (deg): 21.93 21.93 21.93
Fractional coordinates of all 4 atoms:
Si (0.000, 0.000, 0.000)
Si (0.258, 0.258, 0.258)
Hg (0.761, 0.761, 0.761)
Ru (0.525, 0.525, 0.525)

Properties
ΔE_f (raw) = 97 kJ/mol of formula units
raw total energy = -4.855 eV/atom
symmetry = R3m (160)



Entry 8:
Computed, not measured: crystalline Ac12Sn6Pd at its relaxed geometry at the PBE level of DFT.

a b c (Å): 9.460 9.460 9.460
angles (deg): 99.60 99.60 99.60
Fractional coordinates of all 19 atoms:
Ac (0.019, 0.680, 0.940)
Ac (0.060, 0.981, 0.320)
Ac (0.190, 0.425, 0.562)
Ac (0.320, 0.060, 0.981)
Ac (0.425, 0.562, 0.190)
Ac (0.438, 0.810, 0.575)
Ac (0.562, 0.190, 0.425)
Ac (0.575, 0.438, 0.810)
Ac (0.680, 0.940, 0.019)
Ac (0.810, 0.575, 0.438)
Ac (0.940, 0.019, 0.680)
Ac (0.981, 0.320, 0.060)
Sn (0.124, 0.640, 0.308)
Sn (0.308, 0.124, 0.640)
Sn (0.360, 0.692, 0.876)
Sn (0.640, 0.308, 0.124)
Sn (0.692, 0.876, 0.360)
Sn (0.876, 0.360, 0.692)
Pd (0.000, 0.000, 0.000)

Properties
raw total energy = -4.552 eV/atom
DFT formation energy = -420 meV/atom
symmetry = R-3 (148)



Number 1: density of states at the Fermi level 0.788 states/eV per atom. Number 2: density of states at the Fermi level 2.551 states/eV per atom. Number 3: density of states at the Fermi level 1.221 states/eV per atom. Number 4: density of states at the Fermi level 0.249 states/eV per atom. Number 5: density of states at the Fermi level 0.626 states/eV per atom. Number 6: density of states at the Fermi level 3.091 states/eV per atom. Number 7: density of states at the Fermi level 0.869 states/eV per atom. Number 8: density of states at the Fermi level 1.314 states/eV per atom.